{
  "formula": "Pa2IrOs",
  "functional": "GGA-PBE",
  "state": "optimized geometry",
  "de_polymorph_mev_per_atom": 204.7,
  "ef_ev_per_fu": -1.6,
  "total_magnetization_mub_per_atom": 0.00,
  "dos_ef_per_ev_cell": 5.3,
  "lattice_angstrom": [[3.443, 0.000, 0.000], [0.000, 3.443, 0.000], [0.000, 0.000, 6.926]],
  "species": ["Pa", "Pa", "Os", "Ir"],
  "fractional_positions": [[0.000, 0.000, 0.754], [0.000, 0.000, 0.246], [0.500, 0.500, 0.000], [0.500, 0.500, 0.500]]
}